Compound: Sc2SnPtS
Source: Alexandria
Functional: PBE
Structure: relaxed

As for the formation energy from raw total energies: -0.315 eV/atom. The calculation puts the calculated volume at 131.06 Å³ per cell.

```
5
Lattice="-0.640 -5.058 0.810 2.043 0.454 4.449 -4.652 0.916 2.043" Properties=species:S:1:pos:R:3 pbc="T T T"
Sc -2.326 0.458 1.021
Sc -0.320 -2.529 0.405
S -1.624 -1.844 3.651
Sn 1.022 0.227 2.225
Pt 0.000 0.000 0.000
```

Compound: ScSn2PtS
Source: Alexandria
Functional: PBE
Structure: relaxed

As for the formation energy from raw total energies: 0.166 eV/atom. The calculation puts the calculated volume at 131.43 Å³ per cell.

```
5
Lattice="5.358 0.000 0.000 0.000 4.578 0.000 0.000 0.000 5.358" Properties=species:S:1:pos:R:3 pbc="T T T"
Sc 2.679 2.289 2.679
S 0.000 2.289 0.000
Sn 0.000 0.000 2.679
Sn 2.679 0.000 0.000
Pt 0.000 0.000 0.000
```

Question: The highest calculated volume belongs to which entry?
Answer: ScSn2PtS

Question: Number 2 is which compound?
Answer: ScSn2PtS

Question: Among the records above, which one has the lowest calculated volume?
Answer: Sc2SnPtS

Question: What is the calculated volume in the second record?
Answer: 131.43 Å³ per cell